A relaxed structure of GaFeBiO4. Source: Alexandria via LeMat-Bulk, functional PBE with a Hubbard U.

Properties
M_tot (μB/atom): 0.572
Total energy (eV per atom): -6.003
Density (g/cm3): 7.071

Cell lengths 6.4007, 6.5231, 8.9666 Å; angles 90.00, 90.00, 90.00 degrees
Last column: nearest neighbours and their distance in Å.
Space group Imma (No. 74)
Symmetry-distinct sites (fractional):
Ga: 0.0000 0.2500 0.1224  4 O 1.91-1.92
Fe: 0.2500 0.2500 0.7500  6 O 2.15-2.29
Bi: 0.0000 0.0000 0.5000  6 O 2.36
O: 0.0000 0.0005 0.2369  1 Ga 1.92
O: 0.2333 0.2500 0.9898  1 Ga 1.91